Record 1
The following is a PBE-GGA calculation of an optimized crystal structure of Tm5Te4Au, from Alexandria.

```
10
Lattice="5.4615 0.0000 2.6342 2.7307 6.8058 1.3171 -0.2259 0.0000 7.4471" Properties=species:S:1:pos:R:3 pbc="T T T"
Te 3.1631 2.7023 7.4126
Tm 2.7380 0.0000 1.3206
Tm 5.7612 2.5180 9.0049
Tm 2.2156 4.2878 2.3986
Te 1.5619 1.5034 3.7536
Te 4.8136 4.1035 3.9908
Au 0.0074 0.0000 0.0036
Te 6.4147 5.3024 7.6499
Tm 3.6039 5.6079 6.4988
Tm 4.3728 1.1979 4.9047
```

Total moment in μB per cell: 0.00
Final energy in eV/atom: -4.968

***

Record 2
The following is a PBE-GGA calculation of an optimized crystal structure of RbNiAsPt, from Alexandria.

```
8
Lattice="3.8133 0.0000 0.0000 0.0000 3.8133 0.0000 0.0000 0.0000 13.0351" Properties=species:S:1:pos:R:3 pbc="T T T"
Ni 2.8600 0.9533 0.0000
Pt 0.9533 2.8600 6.5176
Ni 0.9533 2.8600 0.0000
Rb 0.9533 0.9533 9.3784
Pt 2.8600 0.9533 6.5176
Rb 2.8600 2.8600 3.6568
As 0.9533 0.9533 1.3238
As 2.8600 2.8600 11.7113
```

Total moment in μB per cell: 0.00
E_form in eV per atom: -0.161

***

Record 3
The following is a PBE-GGA calculation of an optimized crystal structure of UV2Cu2S6, from Alexandria.

```
11
Lattice="-1.2056 0.1546 6.1163 1.9022 -5.3304 -2.6183 5.8467 1.6291 1.0573" Properties=species:S:1:pos:R:3 pbc="T T T"
S 4.8096 -2.1737 3.0763
Cu 1.5305 -4.6743 -1.5735
Cu -0.8339 -0.5015 5.0715
S 1.7337 -1.3730 1.4790
S 2.8405 -2.9164 -1.3585
V 2.8041 -0.9482 3.5916
S 0.8752 0.5522 4.1651
V 3.7392 -2.5984 0.9637
S 5.6681 -4.0989 0.3901
U 2.9233 0.8146 0.5286
S 3.7027 -0.6303 5.9137
```

Total moment in μB per cell: 5.97
Final energy in eV/atom: -6.495

***

Record 4
The following is a PBE-GGA calculation of an optimized crystal structure of La2Ga3Cu4Au, from Alexandria.

```
10
Lattice="-0.1098 0.9228 -4.2358 -3.9674 -1.7293 -0.2739 -4.0898 9.0535 2.0784" Properties=species:S:1:pos:R:3 pbc="T T T"
La -1.0556 2.6767 -1.6094
Cu -2.0386 -0.4033 -2.2548
Au -4.0835 4.1235 -1.2157
Ga -2.0449 4.5267 1.0392
Ga -2.4781 0.2298 0.1143
La -5.0728 5.9735 1.4329
Cu -2.6694 6.2490 -0.7893
Cu -3.4590 2.4012 0.6128
Ga -3.6503 8.4204 -0.2908
Cu 0.0000 0.0000 0.0000
```

Total moment in μB per cell: 0.00
E_form in eV per atom: -0.421